[1]
The following is a PBE calculation of a relaxed CsAsIO2 crystal, from Alexandria via LeMat-Bulk.

The space group is P4/mmm (No. 123) and the conventional cell measures 4.551, 4.551 and 5.655 Å, with angles of 90.00, 90.00 and 90.00 degrees. Symmetry generates all atoms from Cs at (0.000, 0.000, 0.000), As at (0.500, 0.500, 0.500), I at (0.500, 0.500, 0.000) and O at (0.000, 0.500, 0.500).

The density of states at the Fermi level is 6.30 states/eV/cell. As for the energy relative to the elements, uncorrected: -229.2 meV/atom. Its energy above the lowest structure with this stoichiometry is 871 meV per atom.

---

[2]
The following is a PBE calculation of a relaxed Tm2Pd5Rh crystal, from Alexandria via LeMat-Bulk.

The space group is Pbam (No. 55) and the conventional cell measures 5.790, 11.589 and 4.046 Å, with angles of 90.00, 90.00 and 90.00 degrees. Symmetry generates all atoms from Tm at (0.247, 0.123, 0.000), Pd at (0.000, 0.500, 0.500), Pd at (0.003, 0.251, 0.500), Pd at (0.247, 0.875, 0.000) and Rh at (0.000, 0.000, 0.500).

The density of states at the Fermi level is 18.12 states/eV/cell. The formation energy comes out at -79.2 kJ/mol of atoms.

---

[3]
The following is a PBE calculation of a relaxed Tl2MoPb crystal, from Alexandria via LeMat-Bulk.

The space group is Cmmm (No. 65) and the conventional cell measures 3.551, 5.225 and 10.621 Å, with angles of 90.00, 90.00 and 90.00 degrees. Symmetry generates all atoms from Tl at (0.000, 0.000, 0.218), Mo at (0.000, 0.500, 0.000) and Pb at (0.000, 0.500, 0.500).

The density of states at the Fermi level is 4.52 states/eV/cell. Its energy above the lowest structure with this stoichiometry is 134 meV per atom. The formation energy comes out at 60.2 kJ/mol of atoms.

---

[4]
The following is a PBE calculation of a relaxed UHCl crystal, from Alexandria via LeMat-Bulk.

The space group is P-1 (No. 2) and the conventional cell measures 3.569, 5.535 and 5.569 Å, with angles of 68.77, 83.42 and 82.74 degrees. Symmetry generates all atoms from U at (0.187, 0.409, 0.348), H at (0.270, 0.551, 0.904) and Cl at (0.292, 0.928, 0.268).

The density of states at the Fermi level is 6.05 states/eV/cell. The value obtained for the total energy is -0.2220 Ha/atom.

---

[5]
The following is a PBE calculation of a relaxed Nd2Er5Tm3 crystal, from Alexandria via LeMat-Bulk.

The space group is Ibam (No. 72) and the conventional cell measures 9.329, 21.616 and 6.716 Å, with angles of 90.00, 90.00 and 90.00 degrees. Symmetry generates all atoms from Nd at (0.103, 0.125, 0.000), Er at (0.000, 0.252, 0.250), Er at (0.000, 0.500, 0.250), Er at (0.087, 0.375, 0.500), Tm at (0.000, 0.000, 0.250) and Tm at (0.250, 0.125, 0.500).

The density of states at the Fermi level is 65.87 states/eV/cell. Its energy above the lowest structure with this stoichiometry is 211 meV per atom. The formation energy comes out at 41.2 kJ/mol of atoms.

---

[6]
The following is a PBE calculation of a relaxed PbCIO2 crystal, from Alexandria via LeMat-Bulk.

The space group is P4/mmm (No. 123) and the conventional cell measures 4.307, 4.307 and 4.430 Å, with angles of 90.00, 90.00 and 90.00 degrees. Symmetry generates all atoms from Pb at (0.000, 0.000, 0.000), C at (0.500, 0.500, 0.500), I at (0.500, 0.500, 0.000) and O at (0.000, 0.500, 0.500).

The density of states at the Fermi level is 6.01 states/eV/cell. As for the energy relative to the elements, uncorrected: 1069.1 meV/atom. Its energy above the lowest structure with this stoichiometry is 0 meV per atom.

---

[7]
The following is a PBE calculation of a relaxed CeHfO4 crystal, from Alexandria via LeMat-Bulk.

The space group is P2_1/c (No. 14) and the conventional cell measures 7.678, 5.403 and 7.695 Å, with angles of 90.00, 95.74 and 90.00 degrees. Symmetry generates all atoms from Ce at (0.145, 0.228, 0.384), Hf at (0.349, 0.727, 0.179), O at (0.105, 0.506, 0.161), O at (0.165, 0.004, 0.113), O at (0.329, 0.603, 0.924) and O at (0.418, 0.094, 0.820).

The density of states at the Fermi level is 0.00 states/eV/cell. As for the energy relative to the elements, uncorrected: -3461.9 meV/atom.

---

[8]
The following is a PBE calculation of a relaxed CaNiTe2I crystal, from Alexandria via LeMat-Bulk.

The space group is P4/mmm (No. 123) and the conventional cell measures 5.913, 5.913 and 5.898 Å, with angles of 90.00, 90.00 and 90.00 degrees. Symmetry generates all atoms from Ca at (0.000, 0.000, 0.000), Ni at (0.500, 0.500, 0.500), Te at (0.000, 0.500, 0.000) and I at (0.000, 0.000, 0.500).

The density of states at the Fermi level is 13.73 states/eV/cell. As for the energy relative to the elements, uncorrected: 492.8 meV/atom. Its energy above the lowest structure with this stoichiometry is 886 meV per atom.